(1)
Below is HgPd5Se after structural relaxation, with properties calculated at the GGA-PBE level.

extended XYZ file:
```
7
Lattice="4.061 0.000 0.000 0.000 4.061 0.000 0.000 0.000 7.232" Properties=species:S:1:pos:R:3 pbc="T T T"
Hg 0.000 0.000 0.000
Pd 0.000 2.031 2.077
Pd 0.000 2.031 5.155
Pd 2.031 0.000 2.077
Pd 2.031 0.000 5.155
Pd 2.031 2.031 0.000
Se 2.031 2.031 3.616
```

Output
Raw total energy: -31.1 eV/cell
Space-group type: No. 123

---

(2)
Below is HgPd3Se6 after structural relaxation, with properties calculated at the GGA-PBE level.

extended XYZ file:
```
10
Lattice="4.654 -6.263 0.000 4.654 6.263 0.000 0.000 0.000 3.844" Properties=species:S:1:pos:R:3 pbc="T T T"
Hg 0.000 0.000 0.000
Pd 2.327 3.132 1.922
Pd 2.327 -3.132 1.922
Pd 4.654 0.000 0.000
Se 4.654 4.197 1.922
Se 2.755 1.536 0.000
Se 2.755 -1.536 0.000
Se 6.553 1.536 0.000
Se 6.553 -1.536 0.000
Se 4.654 -4.197 1.922
```

Output
Raw total energy: -38.3 eV/cell
Space-group type: No. 65

---

(3)
Below is Hg2Pd3Se2 after structural relaxation, with properties calculated at the GGA-PBE level.

extended XYZ file:
```
7
Lattice="2.910 1.680 4.901 -2.910 1.680 4.901 0.000 -3.361 4.901" Properties=species:S:1:pos:R:3 pbc="T T T"
Hg 0.000 0.000 0.000
Hg 0.000 0.000 7.351
Pd -1.455 -0.840 4.901
Pd -1.455 0.840 9.801
Pd 0.000 1.680 4.901
Se 0.000 0.000 3.127
Se 0.000 0.000 11.575
```

Output
Raw total energy: -24.9 eV/cell
Space-group type: No. 166

---

(4)
Below is Hg3Pd8Se9 after structural relaxation, with properties calculated at the GGA-PBE level.

extended XYZ file:
```
40
Lattice="7.304 0.000 0.000 0.000 17.024 0.000 0.000 0.000 6.526" Properties=species:S:1:pos:R:3 pbc="T T T"
Hg 1.826 0.752 0.798
Hg 1.826 7.760 0.798
Hg 1.826 12.768 1.921
Hg 5.478 4.256 4.605
Hg 5.478 9.264 5.728
Hg 5.478 16.272 5.728
Pd 0.083 2.746 6.289
Pd 0.083 5.766 6.289
Pd 1.826 2.812 2.612
Pd 1.826 5.700 2.612
Pd 1.826 8.748 3.483
Pd 1.826 16.787 3.483
Pd 3.568 2.746 6.289
Pd 3.568 5.766 6.289
Pd 3.735 11.258 0.237
Pd 3.735 14.278 0.237
Pd 5.478 0.237 3.043
Pd 5.478 8.275 3.043
Pd 5.478 11.324 3.913
Pd 5.478 14.212 3.913
Pd 7.220 11.258 0.237
Pd 7.220 14.278 0.237
Se 0.064 12.768 4.747
Se 0.108 1.544 4.028
Se 0.108 6.968 4.028
Se 1.826 4.256 5.247
Se 1.826 9.927 5.827
Se 1.826 15.609 5.827
Se 3.544 1.544 4.028
Se 3.544 6.968 4.028
Se 3.588 12.768 4.747
Se 3.716 4.256 1.779
Se 3.759 10.056 2.497
Se 3.759 15.480 2.497
Se 5.478 1.415 0.699
Se 5.478 7.097 0.699
Se 5.478 12.768 1.279
Se 7.196 10.056 2.497
Se 7.196 15.480 2.497
Se 7.240 4.256 1.779
```

Output
Raw total energy: -160.1 eV/cell
Space-group type: No. 59

---

(5)
Below is TmHgPdSe3 after structural relaxation, with properties calculated at the GGA-PBE level.

extended XYZ file:
```
12
Lattice="1.955 -7.395 0.000 1.955 7.395 0.000 0.000 0.000 10.079" Properties=species:S:1:pos:R:3 pbc="T T T"
Tm 0.000 0.000 0.000
Tm 0.000 0.000 5.040
Hg 1.955 3.766 7.559
Hg 1.955 -3.766 2.520
Pd 1.955 0.186 2.520
Pd 1.955 -0.186 7.559
Se 1.955 5.915 2.520
Se 1.955 1.928 0.734
Se 1.955 1.928 4.306
Se 1.955 -1.928 5.773
Se 1.955 -1.928 9.345
Se 1.955 -5.915 7.559
```

Output
Raw total energy: -49.7 eV/cell
Magnetization: 0.0 μB per formula unit
Space-group type: No. 63

---

(6)
Below is ZrHgPdSe3 after structural relaxation, with properties calculated at the GGA-PBE level.

extended XYZ file:
```
12
Lattice="1.869 -7.372 0.000 1.869 7.372 0.000 0.000 0.000 10.223" Properties=species:S:1:pos:R:3 pbc="T T T"
Zr 0.000 0.000 0.000
Zr 0.000 0.000 5.112
Hg 1.869 3.600 7.668
Hg 1.869 -3.600 2.556
Pd 1.869 0.487 2.556
Pd 1.869 -0.487 7.668
Se 1.869 6.175 2.556
Se 1.869 1.929 0.483
Se 1.869 1.929 4.629
Se 1.869 -1.929 5.595
Se 1.869 -1.929 9.740
Se 1.869 -6.175 7.668
```

Output
Raw total energy: -57.0 eV/cell
Magnetization: 0.0 μB per formula unit
Space-group type: No. 63